A relaxed structure of NpZn2SnO8. Source: Alexandria via LeMat-Bulk, functional GGA-PBE.

Unit cell a=6.5806 b=6.5806 c=7.1023 alpha=90.00 beta=90.00 gamma=90.00
Last column: nearest neighbours and their distance in Å.
Space group I-4m2 (No. 119)
Unique sites:
Np 0.0000 0.0000 0.0000 [2 per cell]  4 O 1.99
Zn 0.0000 0.0000 0.5000 [2 per cell]  4 O 1.94
Zn 0.0000 0.5000 0.2500 [2 per cell]  4 O 1.95
Sn 0.0000 0.5000 0.7500 [2 per cell]  4 O 2.05
O 0.0000 0.1924 0.7061 [8 per cell]  1 Zn 1.94, 1 Sn 2.05
O 0.0000 0.2986 0.0477 [8 per cell]  1 Zn 1.95, 1 Np 1.99

Values from the calculation:
Calculated volume ... 12.815 Å³/atom
Formation energy from raw total energies ... -1555.8 meV/atom
Uncorrected energy ... -6.49 eV/atom


A relaxed structure of Rb2BO3. Source: Alexandria via LeMat-Bulk, functional GGA-PBE.

Unit cell a=7.9829 b=11.6358 c=12.2383 alpha=90.00 beta=90.00 gamma=90.00
Last column: nearest neighbours and their distance in Å.
Space group Fmmm (No. 69)
Unique sites:
Rb 0.2432 0.0000 0.0000 [8 per cell]  6 O 2.90-3.02
Rb 0.2500 0.2500 0.2500 [8 per cell]  4 O 2.85
B 0.0000 0.0000 0.2203 [8 per cell]  3 O 1.37-1.38
O 0.0000 0.0000 0.3322 [8 per cell]  1 B 1.37
O 0.0000 0.1015 0.1626 [16 per cell]  1 B 1.38

Values from the calculation:
Calculated volume ... 23.683 Å³/atom
Formation energy from raw total energies ... -1830.4 meV/atom
Relative energy among the computed polymorphs ... 22 meV/atom
Uncorrected energy ... -5.74 eV/atom


A relaxed structure of Nd8Sm4Dy. Source: Alexandria via LeMat-Bulk, functional GGA-PBE.

Unit cell a=11.8623 b=11.8623 c=11.7321 alpha=90.00 beta=90.00 gamma=120.00
Last column: nearest neighbours and their distance in Å.
Space group R-3m (No. 166, hexagonal axes)
Unique sites:
Nd 0.0000 0.0000 0.2429 [6 per cell]  1 Sm 2.85, 1 Dy 3.02
Nd 0.0010 0.5005 0.6682 [18 per cell]  3 Sm 3.41-3.43, 3 Nd 3.41-3.60
Sm 0.0000 0.0000 0.0000 [3 per cell]  2 Nd 2.85
Sm 0.0000 0.5000 0.0000 [9 per cell]  6 Nd 3.43-3.58
Dy 0.0000 0.0000 0.5000 [3 per cell]  2 Nd 3.02

Values from the calculation:
Calculated volume ... 36.659 Å³/atom
Uncorrected energy ... -4.33 eV/atom